Sc3Cr | PBE | optimized geometry

Cell lengths 5.9451, 9.6933, 5.9406 Å; angles 90.00, 90.00, 90.00 degrees
With the nearest neighbours (Å) after each atom.
Fractional coordinates of all 16 atoms:
Sc1 0.0028 0.2500 0.0753  3 Cr 2.80-3.08
Sc2 0.1940 0.5257 0.3132  2 Cr 2.72-3.05
Sc3 0.1940 0.9743 0.3132  2 Cr 2.72-3.05
Sc4 0.3060 0.0257 0.8132  2 Cr 2.72-3.05
Sc5 0.3060 0.4743 0.8132  2 Cr 2.72-3.05
Sc6 0.4972 0.7500 0.5753  3 Cr 2.80-3.08
Sc7 0.5028 0.2500 0.4247  3 Cr 2.80-3.08
Sc8 0.6940 0.5257 0.1868  2 Cr 2.72-3.05
Sc9 0.6940 0.9743 0.1868  2 Cr 2.72-3.05
Sc10 0.8060 0.0257 0.6868  2 Cr 2.72-3.05
Sc11 0.8060 0.4743 0.6868  2 Cr 2.72-3.05
Sc12 0.9972 0.7500 0.9247  3 Cr 2.80-3.08
Cr1 0.0511 0.2500 0.5599  6 Sc 2.72-3.05
Cr2 0.4489 0.7500 0.0599  6 Sc 2.72-3.05
Cr3 0.5511 0.2500 0.9401  6 Sc 2.72-3.05
Cr4 0.9489 0.7500 0.4401  6 Sc 2.72-3.05

Calculated values
For the density of states at the Fermi level, the calculation gives 15.1 states/eV per cell. The energy of formation from the pure elements comes out at 0.167 eV per atom.



K2TaBi | PBE | optimized geometry

Cell lengths 9.5911, 9.5911, 9.5911 Å; angles 94.76, 94.76, 146.51 degrees
With the nearest neighbours (Å) after each atom.
Fractional coordinates of all 8 atoms:
K1 0.3750 0.0404 0.1654  2 Bi 3.50
K2 0.7904 0.6250 0.6654  2 Bi 3.50
K3 0.8750 0.2096 0.8346  2 Bi 3.50
K4 0.9596 0.1250 0.3346  2 Bi 3.50
Ta1 0.2500 0.7500 0.5000  2 Bi 2.76
Ta2 0.5000 0.5000 0.0000  2 Bi 2.76
Bi1 0.0000 0.0000 0.0000  2 Ta 2.76
Bi2 0.7500 0.2500 0.5000  2 Ta 2.76

Calculated values
For the density of states at the Fermi level, the calculation gives 7.3 states/eV per cell. The energy of formation from the pure elements comes out at 0.909 eV per atom.



ThMnPdRh | PBE | optimized geometry

Cell lengths 4.7961, 4.7961, 4.7961 Å; angles 60.00, 60.00, 60.00 degrees
With the nearest neighbours (Å) after each atom.
Fractional coordinates of all 4 atoms:
Th1 0.0000 0.0000 0.0000  4 Rh 2.94, 4 Pd 2.94
Mn1 0.5000 0.5000 0.5000  4 Rh 2.94, 4 Pd 2.94
Pd1 0.2500 0.2500 0.2500  4 Mn 2.94, 4 Th 2.94
Rh1 0.7500 0.7500 0.7500  4 Mn 2.94, 4 Th 2.94

Calculated values
For the density of states at the Fermi level, the calculation gives 3.8 states/eV per cell. The energy of formation from the pure elements comes out at -0.418 eV per atom.



BaPa2F8 | PBE | optimized geometry

Cell lengths 8.0007, 8.0007, 4.2137 Å; angles 92.91, 92.91, 38.41 degrees
With the nearest neighbours (Å) after each atom.
Fractional coordinates of all 11 atoms:
Ba1 0.0000 0.0000 0.0000  10 F 2.89-3.15
Pa1 0.2956 0.2956 0.2631  1 F 2.21
Pa2 0.7044 0.7044 0.7369  1 F 2.21
F1 0.1033 0.5810 0.7601  3 Pa 2.49-2.59, 6 F 2.51-2.76
F2 0.1922 0.1922 0.7485  6 F 2.56-2.59, 4 Pa 2.60-2.64
F3 0.4190 0.8967 0.2399  3 Pa 2.49-2.59, 6 F 2.51-2.76
F4 0.4413 0.4413 0.2409  1 Pa 2.21
F5 0.5587 0.5587 0.7591  1 Pa 2.21
F6 0.5810 0.1033 0.7601  3 Pa 2.49-2.59, 6 F 2.51-2.76
F7 0.8078 0.8078 0.2515  6 F 2.56-2.59, 4 Pa 2.60-2.64
F8 0.8967 0.4190 0.2399  3 Pa 2.49-2.59, 6 F 2.51-2.76

Calculated values
For the density of states at the Fermi level, the calculation gives 4.3 states/eV per cell. For the uncorrected formation energy, the calculation gives -3.4419 eV per atom.



LaCoSe2 | PBE | optimized geometry

Cell lengths 5.9387, 5.9387, 4.6322 Å; angles 92.39, 92.39, 39.25 degrees
With the nearest neighbours (Å) after each atom.
Fractional coordinates of all 4 atoms:
La1 0.0000 0.0000 0.0000  7 Se 3.07-3.17, 3 Co 3.27-3.34
Co1 0.7108 0.7108 0.7873  3 Se 2.30-2.32
Se1 0.2829 0.2829 0.9712  2 Co 2.30
Se2 0.5348 0.5348 0.5018  1 Co 2.32

Calculated values
For the energy above the most stable polymorph in this dataset, the calculation gives 45.1 meV/atom. For the density of states at the Fermi level, the calculation gives 3.5 states/eV per cell. For the uncorrected formation energy, the calculation gives -0.9944 eV per atom.



Ba3Ru2N4 | PBE | optimized geometry

Cell lengths 7.7771, 7.7771, 5.7504 Å; angles 93.89, 93.89, 74.72 degrees
With the nearest neighbours (Å) after each atom.
Fractional coordinates of all 18 atoms:
Ba1 0.0941 0.9059 0.7500  6 N 2.78-2.92
Ba2 0.2386 0.5078 0.4548  4 N 2.75-3.07
Ba3 0.4922 0.7614 0.0452  4 N 2.75-3.07
Ba4 0.5078 0.2386 0.9548  4 N 2.75-3.07
Ba5 0.7614 0.4922 0.5452  4 N 2.75-3.07
Ba6 0.9059 0.0941 0.2500  6 N 2.78-2.92
Ru1 0.0826 0.3397 0.9259  4 N 1.99-2.07
Ru2 0.3397 0.0826 0.4259  4 N 1.99-2.07
Ru3 0.6603 0.9174 0.5741  4 N 1.99-2.07
Ru4 0.9174 0.6603 0.0741  4 N 1.99-2.07
N1 0.1302 0.2280 0.6071  2 Ru 1.99-2.03
N2 0.1720 0.5640 0.9560  2 Ru 2.03-2.07
N3 0.2280 0.1302 0.1071  2 Ru 1.99-2.03
N4 0.4360 0.8280 0.5440  2 Ru 2.03-2.07
N5 0.5640 0.1720 0.4560  2 Ru 2.03-2.07
N6 0.7720 0.8698 0.8929  2 Ru 1.99-2.03
N7 0.8280 0.4360 0.0440  2 Ru 2.03-2.07
N8 0.8698 0.7720 0.3929  2 Ru 1.99-2.03

Calculated values
For the density of states at the Fermi level, the calculation gives 7.2 states/eV per cell. For the uncorrected formation energy, the calculation gives -0.1647 eV per atom.



Li4Cu | PBE | optimized geometry

Cell lengths 4.7571, 4.7571, 4.7571 Å; angles 90.00, 90.00, 90.00 degrees
With the nearest neighbours (Å) after each atom.
Fractional coordinates of all 5 atoms:
Li1 0.0000 0.0000 0.0000  12 Li 3.36
Li2 0.0000 0.5000 0.5000  2 Cu 2.38
Li3 0.5000 0.0000 0.5000  2 Cu 2.38
Li4 0.5000 0.5000 0.0000  2 Cu 2.38
Cu1 0.5000 0.5000 0.5000  6 Li 2.38

Calculated values
For the energy above the most stable polymorph in this dataset, the calculation gives 167.0 meV/atom. For the density of states at the Fermi level, the calculation gives 1.5 states/eV per cell. The energy of formation from the pure elements comes out at 0.170 eV per atom.



ZrWBr2 | PBE | optimized geometry

Cell lengths 3.1014, 3.1014, 10.3354 Å; angles 90.00, 90.00, 90.00 degrees
With the nearest neighbours (Å) after each atom.
Fractional coordinates of all 4 atoms:
Zr1 0.0000 0.0000 0.0000  8 Br 2.81, 4 Zr 3.10
W1 0.0000 0.0000 0.5000  4 W 3.10
Br1 0.5000 0.5000 0.1700  4 Zr 2.81, 4 Br 3.10
Br2 0.5000 0.5000 0.8300  4 Zr 2.81, 4 Br 3.10

Calculated values
For the energy above the most stable polymorph in this dataset, the calculation gives 754.2 meV/atom. For the density of states at the Fermi level, the calculation gives 3.0 states/eV per cell. For the uncorrected formation energy, the calculation gives 0.6860 eV per atom.



ScTaFe2 | PBE | optimized geometry

Cell lengths 8.7324, 8.7324, 8.7324 Å; angles 19.43, 19.43, 19.43 degrees
With the nearest neighbours (Å) after each atom.
Fractional coordinates of all 4 atoms:
Sc1 0.0000 0.0000 0.0000  3 Fe 2.79, 6 Sc 2.95, 3 Ta 3.07
Ta1 0.2337 0.2337 0.2337  3 Fe 2.66, 6 Ta 2.95
Fe1 0.4876 0.4876 0.4876  3 Fe 2.44, 3 Ta 2.66
Fe2 0.7528 0.7528 0.7528  3 Fe 2.44

Calculated values
For the energy above the most stable polymorph in this dataset, the calculation gives 494.5 meV/atom. For the density of states at the Fermi level, the calculation gives 4.2 states/eV per cell. The energy of formation from the pure elements comes out at 0.275 eV per atom.



PAuICl2 | PBE | optimized geometry

Cell lengths 5.3543, 5.3543, 5.4945 Å; angles 90.00, 90.00, 90.00 degrees
With the nearest neighbours (Å) after each atom.
Fractional coordinates of all 5 atoms:
P1 0.0000 0.0000 0.0000  2 I 2.75
Au1 0.5000 0.5000 0.0000  4 P 3.79, 8 Cl 3.84
I1 0.0000 0.0000 0.5000  4 Cl 2.68, 2 P 2.75
Cl1 0.0000 0.5000 0.5000  2 I 2.68
Cl2 0.5000 0.0000 0.5000  2 I 2.68

Calculated values
For the energy above the most stable polymorph in this dataset, the calculation gives 524.5 meV/atom. For the density of states at the Fermi level, the calculation gives 3.5 states/eV per cell. For the uncorrected formation energy, the calculation gives 0.9217 eV per atom.



LaTb6Sm5 | PBE | optimized geometry

Cell lengths 9.5445, 9.5445, 9.5445 Å; angles 148.98, 115.61, 73.19 degrees
With the nearest neighbours (Å) after each atom.
Fractional coordinates of all 12 atoms:
La1 0.0000 0.0000 0.0000  8 Tb 3.61-3.62, 4 Sm 3.63
Tb1 0.0841 0.8330 0.2510  7 Sm 3.58-3.61, 4 Tb 3.60-3.61, 1 La 3.61
Tb2 0.2522 0.5000 0.7522  6 Sm 3.59-3.63, 4 Tb 3.61, 2 La 3.62
Tb3 0.4180 0.1670 0.2510  7 Sm 3.58-3.61, 4 Tb 3.60-3.61, 1 La 3.61
Tb4 0.5820 0.8330 0.7490  7 Sm 3.58-3.61, 4 Tb 3.60-3.61, 1 La 3.61
Tb5 0.7478 0.5000 0.2478  6 Sm 3.59-3.63, 4 Tb 3.61, 2 La 3.62
Tb6 0.9159 0.1670 0.7490  7 Sm 3.58-3.61, 4 Tb 3.60-3.61, 1 La 3.61
Sm1 0.1680 0.6680 0.5000  8 Tb 3.58-3.63, 2 Sm 3.59, 2 La 3.63
Sm2 0.3328 0.3328 0.0000  4 Sm 3.59-3.62, 8 Tb 3.59-3.60
Sm3 0.5000 0.0000 0.5000  8 Tb 3.59-3.60, 4 Sm 3.62
Sm4 0.6672 0.6672 0.0000  4 Sm 3.59-3.62, 8 Tb 3.59-3.60
Sm5 0.8320 0.3320 0.5000  8 Tb 3.58-3.63, 2 Sm 3.59, 2 La 3.63

Calculated values
For the density of states at the Fermi level, the calculation gives 16.4 states/eV per cell. The energy of formation from the pure elements comes out at 0.018 eV per atom.



U2VGa | PBE | optimized geometry

Cell lengths 3.9975, 3.9975, 4.4933 Å; angles 90.00, 90.00, 90.00 degrees
With the nearest neighbours (Å) after each atom.
Fractional coordinates of all 4 atoms:
U1 0.0000 0.5000 0.0000  4 U 2.83, 4 V 3.01, 4 Ga 3.01
U2 0.5000 0.0000 0.0000  4 U 2.83, 4 V 3.01, 4 Ga 3.01
V1 0.0000 0.0000 0.5000  4 Ga 2.83, 8 U 3.01
Ga1 0.5000 0.5000 0.5000  4 V 2.83, 8 U 3.01

Calculated values
For the energy above the most stable polymorph in this dataset, the calculation gives 0.0 meV/atom. For the density of states at the Fermi level, the calculation gives 8.6 states/eV per cell. The energy of formation from the pure elements comes out at 0.006 eV per atom.



Q: The highest density of states at the Fermi level belongs to which entry?
A: LaTb6Sm5